No. 1
This record from Alexandria via LeMat-Bulk describes a relaxed CdHg11Pb17 crystal. The functional is GGA-PBE.

Cell lengths 10.275, 10.275, 10.267 Å; angles 109.20, 109.20, 109.97 degrees
Fractional coordinates of all 29 atoms:
Cd1 0.000 0.000 0.000
Hg1 0.004 0.192 0.549
Hg2 0.016 0.634 0.385
Hg3 0.192 0.004 0.549
Hg4 0.193 0.193 0.357
Hg5 0.459 0.644 0.202
Hg6 0.459 0.830 0.007
Hg7 0.632 0.819 0.810
Hg8 0.634 0.016 0.385
Hg9 0.644 0.459 0.202
Hg10 0.819 0.632 0.810
Hg11 0.830 0.459 0.007
Pb1 0.121 0.506 0.879
Pb2 0.137 0.420 0.190
Pb3 0.138 0.815 0.788
Pb4 0.155 0.814 0.174
Pb5 0.206 0.206 0.892
Pb6 0.242 0.536 0.598
Pb7 0.410 0.830 0.505
Pb8 0.420 0.137 0.190
Pb9 0.481 0.481 0.869
Pb10 0.506 0.121 0.879
Pb11 0.519 0.519 0.470
Pb12 0.536 0.242 0.598
Pb13 0.814 0.155 0.174
Pb14 0.815 0.138 0.788
Pb15 0.823 0.823 0.186
Pb16 0.830 0.410 0.505
Pb17 0.843 0.843 0.540

Summary:
- E_tot: -2.284 eV/atom
- E_form: 0.035 eV per atom
- Total moment: 0.000 μB per atom

=====

No. 2
This record from Alexandria via LeMat-Bulk describes a relaxed KNa5InHg2 crystal. The functional is GGA-PBE.

Cell lengths 5.703, 5.703, 11.542 Å; angles 90.00, 90.00, 90.00 degrees
Fractional coordinates of all 9 atoms:
K1 0.000 0.000 0.000
Na1 0.000 0.500 0.345
Na2 0.000 0.500 0.655
Na3 0.500 0.000 0.345
Na4 0.500 0.000 0.655
Na5 0.500 0.500 0.000
In1 0.500 0.500 0.500
Hg1 0.500 0.500 0.247
Hg2 0.500 0.500 0.753

Summary:
- E_tot: -1.261 eV/atom
- E_form: -0.035 eV per atom
- Total moment: 0.000 μB per atom

=====

No. 3
This record from Alexandria via LeMat-Bulk describes a relaxed ZrNb2Te2 crystal. The functional is GGA-PBE.

Cell lengths 7.923, 7.923, 3.430 Å; angles 90.00, 90.00, 90.00 degrees
Fractional coordinates of all 10 atoms:
Zr1 0.000 0.000 0.000
Zr2 0.500 0.500 0.000
Nb1 0.139 0.361 0.000
Nb2 0.361 0.861 0.000
Nb3 0.639 0.139 0.000
Nb4 0.861 0.639 0.000
Te1 0.159 0.659 0.500
Te2 0.341 0.159 0.500
Te3 0.659 0.841 0.500
Te4 0.841 0.341 0.500

Summary:
- E_tot: -6.951 eV/atom
- Total moment: 0.000 μB per atom
- E_form (uncorrected): 4.20 kJ/mol of atoms

=====

No. 4
This record from Alexandria via LeMat-Bulk describes a relaxed AgAsOsBr2 crystal. The functional is GGA-PBE.

Cell lengths 5.312, 5.312, 4.636 Å; angles 90.00, 90.00, 90.00 degrees
Fractional coordinates of all 5 atoms:
Ag1 0.000 0.000 0.000
As1 0.500 0.500 0.000
Os1 0.500 0.500 0.500
Br1 0.000 0.500 0.500
Br2 0.500 0.000 0.500

Summary:
- E_tot: -3.814 eV/atom
- Total moment: 0.000 μB per atom
- E_form (uncorrected): 58.04 kJ/mol of atoms

=====

No. 5
This record from Alexandria via LeMat-Bulk describes a relaxed ZnSiBr2 crystal. The functional is GGA-PBE.

Cell lengths 7.606, 7.606, 7.606 Å; angles 95.42, 95.42, 144.19 degrees
Fractional coordinates of all 8 atoms:
Zn1 0.000 0.000 0.000
Zn2 0.750 0.250 0.500
Si1 0.250 0.750 0.500
Si2 0.500 0.500 0.000
Br1 0.300 0.625 0.175
Br2 0.375 0.550 0.675
Br3 0.450 0.125 0.825
Br4 0.875 0.700 0.325

Summary:
- E_tot: -2.646 eV/atom
- Total moment: 0.000 μB per atom
- E_form (uncorrected): -13.01 kJ/mol of atoms

=====

No. 6
This record from Alexandria via LeMat-Bulk describes a relaxed Ac2SmCu2Se6 crystal. The functional is GGA-PBE.

Cell lengths 8.398, 8.398, 8.398 Å; angles 52.59, 52.59, 52.59 degrees
Fractional coordinates of all 11 atoms:
Ac1 0.202 0.202 0.202
Ac2 0.798 0.798 0.798
Sm1 0.000 0.000 0.000
Cu1 0.436 0.436 0.436
Cu2 0.564 0.564 0.564
Se1 0.216 0.749 0.749
Se2 0.251 0.251 0.784
Se3 0.251 0.784 0.251
Se4 0.749 0.216 0.749
Se5 0.749 0.749 0.216
Se6 0.784 0.251 0.251

Summary:
- E_tot: -4.900 eV/atom
- Total moment: 0.000 μB per atom
- E_form (uncorrected): -104.09 kJ/mol of atoms

=====

No. 7
This record from Alexandria via LeMat-Bulk describes a relaxed Sm6Dy2Ho3Tl crystal. The functional is GGA-PBE.

Cell lengths 6.165, 6.165, 11.740 Å; angles 95.06, 95.06, 120.12 degrees
Fractional coordinates of all 12 atoms:
Sm1 0.083 0.411 0.749
Sm2 0.246 0.246 0.250
Sm3 0.411 0.083 0.749
Sm4 0.589 0.917 0.251
Sm5 0.754 0.754 0.750
Sm6 0.917 0.589 0.251
Dy1 0.334 0.666 0.500
Dy2 0.666 0.334 0.500
Ho1 0.167 0.833 0.000
Ho2 0.500 0.500 0.000
Ho3 0.833 0.167 0.000
Tl1 0.000 0.000 0.500

Summary:
- E_tot: -4.482 eV/atom
- E_form: -0.014 eV per atom
- Total moment: 0.000 μB per atom

=====

No. 8
This record from Alexandria via LeMat-Bulk describes a relaxed La5PmSm6 crystal. The functional is GGA-PBE.

Cell lengths 6.393, 6.393, 12.104 Å; angles 95.05, 95.05, 120.05 degrees
Fractional coordinates of all 12 atoms:
La1 0.000 0.000 0.000
La2 0.167 0.833 0.500
La3 0.334 0.666 0.000
La4 0.666 0.334 0.000
La5 0.833 0.167 0.500
Pm1 0.500 0.500 0.500
Sm1 0.085 0.417 0.251
Sm2 0.250 0.250 0.749
Sm3 0.417 0.085 0.251
Sm4 0.583 0.915 0.749
Sm5 0.750 0.750 0.251
Sm6 0.915 0.583 0.749

Summary:
- E_tot: -4.797 eV/atom
- E_form: 0.012 eV per atom
- Total moment: 0.000 μB per atom

=====

No. 9
This record from Alexandria via LeMat-Bulk describes a relaxed AgHg2As crystal. The functional is GGA-PBE.

Cell lengths 10.198, 10.198, 10.198 Å; angles 17.92, 17.92, 17.92 degrees
Fractional coordinates of all 4 atoms:
Ag1 0.000 0.000 0.000
Hg1 0.252 0.252 0.252
Hg2 0.492 0.492 0.492
As1 0.736 0.736 0.736

Summary:
- E_tot: -1.815 eV/atom
- E_form: 0.211 eV per atom
- Total moment: 0.000 μB per atom

=====

No. 10
This record from Alexandria via LeMat-Bulk describes a relaxed BaFeN2 crystal. The functional is GGA-PBE.

Cell lengths 5.856, 5.856, 4.571 Å; angles 100.22, 100.22, 117.49 degrees
Fractional coordinates of all 8 atoms:
Ba1 0.155 0.845 0.750
Ba2 0.845 0.155 0.250
Fe1 0.496 0.504 0.250
Fe2 0.504 0.496 0.750
N1 0.221 0.413 0.907
N2 0.413 0.221 0.407
N3 0.587 0.779 0.593
N4 0.779 0.587 0.093

Summary:
- E_tot: -7.178 eV/atom
- Total moment: 0.295 μB per atom
- E_form (uncorrected): -40.41 kJ/mol of atoms

=====

No. 11
This record from Alexandria via LeMat-Bulk describes a relaxed CoSi3Rh crystal. The functional is GGA-PBE.

Cell lengths 4.251, 4.251, 4.251 Å; angles 90.00, 90.00, 90.00 degrees
Fractional coordinates of all 5 atoms:
Co1 0.000 0.000 0.000
Si1 0.000 0.000 0.500
Si2 0.000 0.500 0.000
Si3 0.500 0.000 0.000
Rh1 0.500 0.500 0.500

Summary:
- E_tot: -5.813 eV/atom
- Total moment: 0.000 μB per atom
- E_form (uncorrected): 32.07 kJ/mol of atoms

=====

No. 12
This record from Alexandria via LeMat-Bulk describes a relaxed AgTeRhO6 crystal. The functional is GGA-PBE.

Cell lengths 5.253, 5.253, 9.738 Å; angles 90.00, 90.00, 120.00 degrees
Fractional coordinates of all 18 atoms:
Ag1 0.000 0.000 0.000
Ag2 0.000 0.000 0.500
Te1 0.333 0.667 0.250
Te2 0.667 0.333 0.750
Rh1 0.333 0.667 0.750
Rh2 0.667 0.333 0.250
O1 0.002 0.374 0.137
O2 0.002 0.628 0.363
O3 0.372 0.374 0.363
O4 0.372 0.998 0.137
O5 0.374 0.002 0.637
O6 0.374 0.372 0.863
O7 0.626 0.628 0.137
O8 0.626 0.998 0.363
O9 0.628 0.002 0.863
O10 0.628 0.626 0.637
O11 0.998 0.372 0.637
O12 0.998 0.626 0.863

Summary:
- E_tot: -5.441 eV/atom
- Total moment: 0.000 μB per atom
- E_form (uncorrected): -62.98 kJ/mol of atoms

=====

No. 13
This record from Alexandria via LeMat-Bulk describes a relaxed PmSeCl crystal. The functional is GGA-PBE.

Cell lengths 7.812, 3.920, 7.826 Å; angles 90.00, 118.68, 90.00 degrees
Fractional coordinates of all 6 atoms:
Pm1 0.000 0.000 0.000
Pm2 0.446 0.000 0.553
Se1 0.144 0.500 0.327
Se2 0.672 0.500 0.855
Cl1 0.145 0.500 0.856
Cl2 0.632 0.000 0.366

Summary:
- E_tot: -5.246 eV/atom
- Total moment: 0.000 μB per atom
- E_form (uncorrected): -181.93 kJ/mol of atoms

=====

No. 14
This record from Alexandria via LeMat-Bulk describes a relaxed Ba2LiZnSn6 crystal. The functional is GGA-PBE.

Cell lengths 13.874, 13.874, 13.874 Å; angles 30.28, 30.28, 30.28 degrees
Fractional coordinates of all 20 atoms:
Ba1 0.113 0.113 0.113
Ba2 0.289 0.289 0.289
Ba3 0.711 0.711 0.711
Ba4 0.887 0.887 0.887
Li1 0.000 0.000 0.000
Li2 0.500 0.500 0.500
Zn1 0.432 0.432 0.432
Zn2 0.568 0.568 0.568
Sn1 0.076 0.663 0.663
Sn2 0.236 0.236 0.650
Sn3 0.236 0.650 0.236
Sn4 0.337 0.337 0.924
Sn5 0.337 0.924 0.337
Sn6 0.350 0.764 0.764
Sn7 0.650 0.236 0.236
Sn8 0.663 0.076 0.663
Sn9 0.663 0.663 0.076
Sn10 0.764 0.350 0.764
Sn11 0.764 0.764 0.350
Sn12 0.924 0.337 0.337

Summary:
- E_tot: -3.434 eV/atom
- E_form: -0.328 eV per atom
- Total moment: 0.000 μB per atom

=====

No. 15
This record from Alexandria via LeMat-Bulk describes a relaxed Mg6SbC crystal. The functional is GGA-PBE.

Cell lengths 4.315, 7.238, 7.238 Å; angles 49.15, 90.00, 90.00 degrees
Fractional coordinates of all 8 atoms:
Mg1 0.000 0.000 0.000
Mg2 0.000 0.499 0.937
Mg3 0.000 0.937 0.499
Mg4 0.500 0.127 0.636
Mg5 0.500 0.143 0.143
Mg6 0.500 0.636 0.127
Sb1 0.000 0.483 0.483
C1 0.500 0.752 0.752

Summary:
- E_tot: -2.542 eV/atom
- Total moment: 0.000 μB per atom
- E_form (uncorrected): 31.08 kJ/mol of atoms